[1]
First-principles (SCAN) data for MgSc2TcRh at its PBEsol-relaxed geometry, as listed in Alexandria via LeMat-Bulk.

Cell: 4.6848 4.6848 4.8353 Å, 90.00 90.00 90.00°
Space group P4/mmm (No. 123)
Asymmetric unit:
Mg  0.0000  0.0000  0.0000 x1
Sc  0.0000  0.5000  0.5000 x2
Tc  0.0000  0.0000  0.5000 x1
Rh  0.5000  0.5000  0.0000 x1

Summary:
The calculation puts the total energy at -19.933 eV/atom. The formation energy from the elements is 0.52 eV per atom. The density of states at the Fermi level is 3.7 states/eV/f.u.


[2]
First-principles (SCAN) data for CaAuCl2 at its PBEsol-relaxed geometry, as listed in Alexandria via LeMat-Bulk.

Cell: 4.5870 4.5870 3.8211 Å, 90.00 90.00 90.00°
Space group P4/mmm (No. 123)
Asymmetric unit:
Ca  0.0000  0.0000  0.0000 x1
Au  0.5000  0.5000  0.0000 x1
Cl  0.0000  0.5000  0.5000 x2

Summary:
The calculation puts the total energy at -24.868 eV/atom. The calculation puts the formation energy (no corrections) at -113.3 kJ per mole of atoms. The density of states at the Fermi level is 1.2 states/eV/f.u. The offset from the most stable computed form comes out at 37.6 meV/atom.